! CaTaTl2 (PBE-GGA, optimized geometry); values from VASP
! Size of the total moment = 0.795 μB/atom
! Energy relative to the elements = 0.77 eV/atom
! V = 26.550 Å³ per atom
! ρ = 9.85 g/cm3
&SYSTEM
  ibrav = 0, nat = 4, ntyp = 3
/
ATOMIC_SPECIES
Ca 40.08 Ca.upf
Ta 180.95 Ta.upf
Tl 204.38 Tl.upf
CELL_PARAMETERS angstrom
0.0000 3.7587 3.7587
3.7587 0.0000 3.7587
3.7587 3.7587 0.0000
ATOMIC_POSITIONS angstrom
Ca 0.0000 0.0000 0.0000
Ta 1.8793 1.8793 1.8793
Tl 3.7587 3.7587 3.7587
Tl 5.6380 5.6380 5.6380